The following is a DFT calculation (GGA-PBE) of a relaxed LiPuZnRu crystal.

Cell: 4.600 4.600 4.600 Å, 60.00 60.00 60.00°
Positions (direct):
Li (0.000, 0.000, 0.000)
Pu (0.250, 0.250, 0.250)
Zn (0.750, 0.750, 0.750)
Ru (0.500, 0.500, 0.500)

Results
Magnetization in μB/f.u.: 5.2
Volume in Å³/cell: 69
Energy of formation in meV/atom: 22



The following is a DFT calculation (GGA-PBE) of a relaxed Li2PuS4 crystal.

Cell: 7.418 7.418 7.418 Å, 117.31 114.40 97.35°
Positions (direct):
Li (0.000, 0.000, 0.500)
Li (0.000, 0.500, 0.000)
Li (0.403, 0.153, 0.250)
Li (0.597, 0.847, 0.750)
Pu (0.000, 0.500, 0.500)
Pu (0.500, 0.500, 0.000)
S (0.218, 0.749, 0.468)
S (0.219, 0.251, 0.968)
S (0.266, 0.297, 0.531)
S (0.266, 0.735, 0.969)
S (0.734, 0.265, 0.031)
S (0.734, 0.703, 0.469)
S (0.781, 0.749, 0.032)
S (0.782, 0.251, 0.532)

Results
Magnetization in μB/f.u.: 2.0
Volume in Å³/cell: 304
Excess energy over the best structure of this formula in the dataset in eV/atom: 0.000
Energy relative to the elements, uncorrected in meV per atom: -1001



The following is a DFT calculation (GGA-PBE) of a relaxed Li3PuS4 crystal.

Cell: 6.455 7.506 6.599 Å, 90.00 110.39 90.00°
Positions (direct):
Li (0.000, 0.112, 0.250)
Li (0.000, 0.361, 0.750)
Li (0.000, 0.639, 0.250)
Li (0.000, 0.888, 0.750)
Li (0.500, 0.117, 0.750)
Li (0.500, 0.883, 0.250)
Pu (0.500, 0.362, 0.250)
Pu (0.500, 0.638, 0.750)
S (0.247, 0.127, 0.011)
S (0.247, 0.873, 0.511)
S (0.260, 0.385, 0.500)
S (0.260, 0.615, 0.000)
S (0.740, 0.385, 0.000)
S (0.740, 0.615, 0.500)
S (0.753, 0.127, 0.489)
S (0.753, 0.873, 0.989)

Results
Magnetization in μB/f.u.: 3.0
Volume in Å³/cell: 300
Energy relative to the elements, uncorrected in meV per atom: -1250



The following is a DFT calculation (GGA-PBE) of a relaxed Li3PuS3 crystal.

Cell: 7.647 7.647 7.647 Å, 54.84 54.84 54.84°
Positions (direct):
Li (0.131, 0.417, 0.817)
Li (0.183, 0.869, 0.583)
Li (0.417, 0.817, 0.131)
Li (0.583, 0.183, 0.869)
Li (0.817, 0.131, 0.417)
Li (0.869, 0.583, 0.183)
Pu (0.334, 0.334, 0.334)
Pu (0.666, 0.666, 0.666)
S (0.080, 0.722, 0.450)
S (0.278, 0.550, 0.920)
S (0.450, 0.080, 0.722)
S (0.550, 0.920, 0.278)
S (0.722, 0.450, 0.080)
S (0.920, 0.278, 0.550)

Results
Magnetization in μB/f.u.: 5.0
Volume in Å³/cell: 278
Energy relative to the elements, uncorrected in meV per atom: -1434



The following is a DFT calculation (GGA-PBE) of a relaxed LiPu5S8 crystal.

Cell: 7.189 7.189 7.189 Å, 109.76 109.76 108.89°
Positions (direct):
Li (0.000, 0.000, 0.000)
Pu (0.241, 0.621, 0.122)
Pu (0.379, 0.501, 0.620)
Pu (0.499, 0.119, 0.878)
Pu (0.750, 0.250, 0.500)
Pu (0.881, 0.759, 0.380)
S (0.120, 0.725, 0.749)
S (0.132, 0.231, 0.744)
S (0.275, 0.025, 0.395)
S (0.487, 0.388, 0.256)
S (0.612, 0.868, 0.099)
S (0.629, 0.880, 0.605)
S (0.769, 0.513, 0.901)
S (0.975, 0.371, 0.251)

Results
Magnetization in μB/f.u.: 14.9
Volume in Å³/cell: 286
Energy relative to the elements, uncorrected in meV per atom: -1617



The following is a DFT calculation (GGA-PBE) of a relaxed LiPuS2 crystal.

Cell: 6.884 6.884 6.884 Å, 33.17 33.17 33.17°
Positions (direct):
Li (0.000, 0.000, 0.000)
Pu (0.820, 0.820, 0.820)
S (0.231, 0.231, 0.231)
S (0.406, 0.406, 0.406)

Results
Magnetization in μB/f.u.: 5.0
Volume in Å³/cell: 87
Energy relative to the elements, uncorrected in meV per atom: -1502



The following is a DFT calculation (GGA-PBE) of a relaxed Li3Pu4S8 crystal.

Cell: 7.819 7.819 7.649 Å, 118.99 118.99 91.33°
Positions (direct):
Li (0.000, 0.000, 0.000)
Li (0.000, 0.500, 0.000)
Li (0.500, 0.000, 0.000)
Pu (0.000, 0.000, 0.500)
Pu (0.000, 0.500, 0.500)
Pu (0.500, 0.000, 0.500)
Pu (0.500, 0.500, 0.000)
S (0.239, 0.239, 0.977)
S (0.243, 0.757, 0.500)
S (0.252, 0.252, 0.501)
S (0.255, 0.745, 0.000)
S (0.745, 0.255, 0.000)
S (0.748, 0.748, 0.499)
S (0.757, 0.243, 0.500)
S (0.761, 0.761, 0.023)

Results
Magnetization in μB/f.u.: 10.4
Volume in Å³/cell: 337
Energy relative to the elements, uncorrected in meV per atom: -1457



The following is a DFT calculation (GGA-PBE) of a relaxed Li4Pu3S8 crystal.

Cell: 7.885 7.885 7.885 Å, 59.47 59.47 59.47°
Positions (direct):
Li (0.000, 0.000, 0.000)
Li (0.136, 0.136, 0.136)
Li (0.500, 0.500, 0.500)
Li (0.864, 0.864, 0.864)
Pu (0.000, 0.500, 0.500)
Pu (0.500, 0.000, 0.500)
Pu (0.500, 0.500, 0.000)
S (0.246, 0.246, 0.735)
S (0.246, 0.735, 0.246)
S (0.259, 0.259, 0.259)
S (0.265, 0.754, 0.754)
S (0.735, 0.246, 0.246)
S (0.741, 0.741, 0.741)
S (0.754, 0.265, 0.754)
S (0.754, 0.754, 0.265)

Results
Magnetization in μB/f.u.: 12.0
Volume in Å³/cell: 342
Excess energy over the best structure of this formula in the dataset in eV/atom: 0.000
Energy relative to the elements, uncorrected in meV per atom: -1351



The following is a DFT calculation (GGA-PBE) of a relaxed LiPu2S3 crystal.

Cell: 6.818 6.818 6.818 Å, 146.17 132.16 59.88°
Positions (direct):
Li (0.000, 0.000, 0.000)
Pu (0.336, 0.336, 0.000)
Pu (0.664, 0.664, 0.000)
S (0.170, 0.670, 0.500)
S (0.500, 0.000, 0.500)
S (0.830, 0.330, 0.500)

Results
Magnetization in μB/f.u.: 11.0
Volume in Å³/cell: 130
Energy relative to the elements, uncorrected in meV per atom: -1647



The following is a DFT calculation (GGA-PBE) of a relaxed Li3Pu2S4 crystal.

Cell: 3.958 3.958 13.708 Å, 90.68 90.68 59.87°
Positions (direct):
Li (0.000, 0.000, 0.000)
Li (0.343, 0.343, 0.403)
Li (0.657, 0.657, 0.597)
Pu (0.327, 0.327, 0.780)
Pu (0.673, 0.673, 0.220)
S (0.009, 0.009, 0.348)
S (0.337, 0.337, 0.111)
S (0.663, 0.663, 0.889)
S (0.991, 0.991, 0.652)

Results
Magnetization in μB/f.u.: 11.0
Volume in Å³/cell: 186
Energy relative to the elements, uncorrected in meV per atom: -1440



The following is a DFT calculation (GGA-PBE) of a relaxed LiPu5S6 crystal.

Cell: 6.822 6.822 6.835 Å, 99.63 99.63 119.99°
Positions (direct):
Li (0.000, 0.000, 0.000)
Pu (0.166, 0.834, 0.500)
Pu (0.333, 0.667, 0.000)
Pu (0.500, 0.500, 0.500)
Pu (0.667, 0.333, 0.000)
Pu (0.834, 0.166, 0.500)
S (0.083, 0.413, 0.245)
S (0.249, 0.249, 0.751)
S (0.413, 0.083, 0.245)
S (0.587, 0.917, 0.755)
S (0.751, 0.751, 0.249)
S (0.917, 0.587, 0.755)

Results
Magnetization in μB/f.u.: 5.4
Volume in Å³/cell: 260
Energy relative to the elements, uncorrected in meV per atom: -1642



The following is a DFT calculation (GGA-PBE) of a relaxed LiPuS3 crystal.

Cell: 6.777 6.777 8.507 Å, 90.00 90.00 120.00°
Positions (direct):
Li (0.000, 0.000, 0.191)
Li (0.000, 0.000, 0.809)
Pu (0.333, 0.667, 0.000)
Pu (0.667, 0.333, 0.000)
S (0.000, 0.361, 0.831)
S (0.000, 0.639, 0.169)
S (0.361, 0.000, 0.831)
S (0.361, 0.361, 0.169)
S (0.639, 0.000, 0.169)
S (0.639, 0.639, 0.831)

Results
Magnetization in μB/f.u.: 3.0
Volume in Å³/cell: 338
Energy relative to the elements, uncorrected in meV per atom: -1082



The following is a DFT calculation (GGA-PBE) of a relaxed Li2PuS4 crystal.

Cell: 7.590 7.590 7.590 Å, 97.12 97.12 138.77°
Positions (direct):
Li (0.046, 0.125, 0.421)
Li (0.375, 0.954, 0.079)
Li (0.704, 0.625, 0.579)
Li (0.875, 0.296, 0.921)
Pu (0.250, 0.750, 0.500)
Pu (0.500, 0.500, 0.000)
S (0.089, 0.878, 0.255)
S (0.122, 0.378, 0.212)
S (0.128, 0.372, 0.712)
S (0.166, 0.911, 0.788)
S (0.584, 0.872, 0.245)
S (0.622, 0.834, 0.745)
S (0.628, 0.339, 0.755)
S (0.661, 0.416, 0.288)

Results
Magnetization in μB/f.u.: 4.4
Volume in Å³/cell: 270
Excess energy over the best structure of this formula in the dataset in eV/atom: 0.038
Energy relative to the elements, uncorrected in meV per atom: -963



The following is a DFT calculation (GGA-PBE) of a relaxed Li2PuS2 crystal.

Cell: 7.891 7.891 7.891 Å, 28.83 28.83 28.83°
Positions (direct):
Li (0.223, 0.223, 0.223)
Li (0.777, 0.777, 0.777)
Pu (0.000, 0.000, 0.000)
S (0.410, 0.410, 0.410)
S (0.590, 0.590, 0.590)

Results
Magnetization in μB/f.u.: 6.0
Volume in Å³/cell: 101
Energy relative to the elements, uncorrected in meV per atom: -1321



The following is a DFT calculation (GGA-PBE) of a relaxed Li4Pu3S8 crystal.

Cell: 7.535 7.535 7.562 Å, 118.33 118.33 92.21°
Positions (direct):
Li (0.000, 0.000, 0.000)
Li (0.000, 0.500, 0.000)
Li (0.500, 0.000, 0.000)
Li (0.500, 0.500, 0.500)
Pu (0.000, 0.500, 0.500)
Pu (0.500, 0.000, 0.500)
Pu (0.500, 0.500, 0.000)
S (0.249, 0.751, 0.000)
S (0.251, 0.251, 0.509)
S (0.257, 0.743, 0.500)
S (0.270, 0.270, 0.018)
S (0.730, 0.730, 0.982)
S (0.743, 0.257, 0.500)
S (0.749, 0.749, 0.491)
S (0.751, 0.249, 0.000)

Results
Magnetization in μB/f.u.: 12.0
Volume in Å³/cell: 313
Excess energy over the best structure of this formula in the dataset in eV/atom: 0.036
Energy relative to the elements, uncorrected in meV per atom: -1315



The following is a DFT calculation (GGA-PBE) of a relaxed LiPuSbS4 crystal.

Cell: 7.939 7.939 7.939 Å, 121.00 119.31 89.74°
Positions (direct):
Li (0.375, 0.125, 0.250)
Li (0.625, 0.875, 0.750)
Pu (0.000, 0.500, 0.500)
Pu (0.500, 0.500, 0.000)
Sb (0.000, 0.000, 0.500)
Sb (0.000, 0.500, 0.000)
S (0.228, 0.738, 0.490)
S (0.243, 0.261, 0.518)
S (0.243, 0.725, 0.982)
S (0.252, 0.262, 0.990)
S (0.748, 0.738, 0.010)
S (0.757, 0.275, 0.018)
S (0.757, 0.739, 0.482)
S (0.772, 0.262, 0.510)

Results
Magnetization in μB/f.u.: 4.0
Volume in Å³/cell: 353
Energy relative to the elements, uncorrected in meV per atom: -974



The following is a DFT calculation (GGA-PBE) of a relaxed Li3Pu2ScS6 crystal.

Cell: 6.716 6.716 6.497 Å, 99.85 99.85 120.04°
Positions (direct):
Li (0.000, 0.000, 0.000)
Li (0.339, 0.661, 0.000)
Li (0.661, 0.339, 0.000)
Pu (0.167, 0.833, 0.500)
Pu (0.833, 0.167, 0.500)
Sc (0.500, 0.500, 0.500)
S (0.097, 0.417, 0.252)
S (0.261, 0.261, 0.746)
S (0.417, 0.097, 0.252)
S (0.583, 0.903, 0.748)
S (0.739, 0.739, 0.254)
S (0.903, 0.583, 0.748)

Results
Magnetization in μB/f.u.: 10.0
Volume in Å³/cell: 238
Energy relative to the elements, uncorrected in meV per atom: -1608



The following is a DFT calculation (GGA-PBE) of a relaxed Li4PuSc3S8 crystal.

Cell: 7.490 7.490 7.490 Å, 60.34 60.34 60.34°
Positions (direct):
Li (0.000, 0.000, 0.000)
Li (0.000, 0.500, 0.500)
Li (0.500, 0.000, 0.500)
Li (0.500, 0.500, 0.000)
Pu (0.500, 0.500, 0.500)
Sc (0.000, 0.000, 0.500)
Sc (0.000, 0.500, 0.000)
Sc (0.500, 0.000, 0.000)
S (0.235, 0.755, 0.755)
S (0.245, 0.245, 0.765)
S (0.245, 0.765, 0.245)
S (0.247, 0.247, 0.247)
S (0.753, 0.753, 0.753)
S (0.755, 0.235, 0.755)
S (0.755, 0.755, 0.235)
S (0.765, 0.245, 0.245)

Results
Magnetization in μB/f.u.: 5.0
Volume in Å³/cell: 299
Energy relative to the elements, uncorrected in meV per atom: -1696



The following is a DFT calculation (GGA-PBE) of a relaxed LiPu2ScS4 crystal.

Cell: 6.571 3.876 6.720 Å, 90.00 109.84 90.00°
Positions (direct):
Li (0.000, 0.000, 0.000)
Pu (0.500, 0.000, 0.500)
Pu (0.500, 0.500, 0.000)
Sc (0.000, 0.500, 0.500)
S (0.233, 0.000, 0.742)
S (0.235, 0.500, 0.249)
S (0.765, 0.500, 0.751)
S (0.767, 0.000, 0.258)

Results
Magnetization in μB/f.u.: 11.3
Volume in Å³/cell: 161
Energy relative to the elements, uncorrected in meV per atom: -1713



The following is a DFT calculation (GGA-PBE) of a relaxed Li2PuScS4 crystal.

Cell: 6.499 3.839 6.629 Å, 90.00 110.10 90.00°
Positions (direct):
Li (0.000, 0.000, 0.000)
Li (0.000, 0.500, 0.500)
Pu (0.500, 0.000, 0.500)
Sc (0.500, 0.500, 0.000)
S (0.252, 0.500, 0.237)
S (0.256, 0.000, 0.764)
S (0.744, 0.000, 0.236)
S (0.748, 0.500, 0.763)

Results
Magnetization in μB/f.u.: 5.0
Volume in Å³/cell: 155
Energy relative to the elements, uncorrected in meV per atom: -1635